P | # Sb2P2I

An optimized crystal structure of Sb2P2I (PBE, Alexandria).

Summary:
N(E_F) = 0.325 states/eV/atom

Unit cell a=4.510 b=4.510 c=13.753 alpha=90.00 beta=90.00 gamma=90.00
Space group I4/mmm (No. 139)
Inequivalent atoms, fractional coordinates:
Sb (0.000, 0.000, 0.141) [4 per cell]
P (0.000, 0.500, 0.250) [4 per cell]
I (0.000, 0.000, 0.500) [2 per cell]

---

Q | # Sb2P2I

An optimized crystal structure of Sb2P2I (PBE, Alexandria).

Summary:
N(E_F) = 0.429 states/eV/atom

Unit cell a=4.849 b=4.849 c=11.685 alpha=90.00 beta=90.00 gamma=90.00
Space group I4/mmm (No. 139)
Inequivalent atoms, fractional coordinates:
Sb (0.000, 0.500, 0.250) [4 per cell]
P (0.000, 0.000, 0.144) [4 per cell]
I (0.000, 0.000, 0.500) [2 per cell]

---

Top of the stability list: P, leading by 150 meV per atom.